A plane-wave DFT calculation with PBE was carried out for YPuAgSb after structural relaxation. Values from VASP.

Structure (Quantum ESPRESSO input):
```
&SYSTEM
  ibrav = 0, nat = 4, ntyp = 4
/
ATOMIC_SPECIES
Y 88.91 Y.upf
Pu 244.00 Pu.upf
Ag 107.87 Ag.upf
Sb 121.76 Sb.upf
ATOMIC_POSITIONS angstrom
Y -4.5418 -3.9966 7.5434
Pu -1.5139 -1.3322 2.5145
Ag 0.0000 0.0000 0.0000
Sb -3.0279 -2.6644 5.0289
CELL_PARAMETERS angstrom
-1.7422 0.8259 4.8977
-4.4678 -2.2621 1.6205
0.1543 -3.8925 3.5396
```

Computed properties:
The value obtained for the total energy is -7.380 eV/atom. Its total magnetic moment is 6.99 μB/f.u. Its mass density is 9.059 g/cm³. The value obtained for the formation energy (no corrections) is -0.437 eV per atom. The calculation puts the density of states at the Fermi level at 10.53 states/eV/f.u.